No. 1
Here is La2TeI2 at its PBEsol-relaxed geometry from Alexandria via LeMat-Bulk. Energies are from meta-GGA SCAN.

Unit cell a=4.448 b=4.448 c=11.282 alpha=78.63 beta=78.63 gamma=60.00
Fractional coordinates of all 5 atoms:
La  0.887  0.887  0.338
La  0.113  0.113  0.662
Te  0.500  0.500  0.500
I  0.718  0.718  0.845
I  0.282  0.282  0.155

Computed properties:
The total magnetization comes out at 0.00 μB/cell. For the raw formation energy, the calculation gives -1661 meV/atom.

No. 2
Here is La2TeI at its PBEsol-relaxed geometry from Alexandria via LeMat-Bulk. Energies are from meta-GGA SCAN.

Unit cell a=5.478 b=5.478 c=5.478 alpha=60.00 beta=60.00 gamma=60.00
Fractional coordinates of all 4 atoms:
Te  0.000  0.000  0.000
I  0.500  0.500  0.500
La  0.250  0.250  0.250
La  0.750  0.750  0.750

Computed properties:
The total magnetization comes out at 0.00 μB/cell. For the raw formation energy, the calculation gives -1382 meV/atom.